[1]
ScTc3: optimized geometry, PBE.

Output
As for the space group: R-3m, No. 166. As for the formation energy: -27 meV per atom. Its energy above the most stable polymorph in this dataset is 80 meV/atom. The final energy comes out at -9.38 eV per atom.

The structure in POSCAR format:
```
ScTc3
1.0
4.386 2.532 0.934
-4.386 2.532 0.934
0.000 -5.064 0.934
Sc Tc
1 3
Direct
0.000 0.000 0.000
0.000 0.500 0.500
0.500 0.000 0.500
0.500 0.500 0.000
```

=====

[2]
ScTc: optimized geometry, PBE.

Output
As for the space group: P6_3/mmc, No. 194. As for the formation energy: 146 meV per atom. The final energy comes out at -8.20 eV per atom.

The structure in POSCAR format:
```
ScTc
1.0
3.087 0.000 0.000
-1.543 2.673 0.000
0.000 0.000 8.497
Sc Tc
2 2
Direct
0.000 0.000 0.000
0.000 0.000 0.500
0.333 0.667 0.250
0.667 0.333 0.750
```

=====

[3]
ScTc: optimized geometry, PBE.

Output
As for the space group: P2_1/m, No. 11. As for the formation energy: -69 meV per atom. The final energy comes out at -8.42 eV per atom.

The structure in POSCAR format:
```
ScTc
1.0
3.009 0.000 0.000
0.000 4.409 0.000
-1.353 0.000 5.275
Sc Tc
2 2
Direct
0.138 0.250 0.356
0.862 0.750 0.644
0.398 0.750 0.104
0.602 0.250 0.896
```

=====

[4]
ScTc: optimized geometry, PBE.

Output
As for the space group: P6_3/mmc, No. 194. As for the formation energy: 178 meV per atom. The final energy comes out at -8.17 eV per atom.

The structure in POSCAR format:
```
ScTc
1.0
4.509 0.000 0.000
-2.255 3.905 0.000
0.000 0.000 4.758
Sc Tc
2 2
Direct
0.333 0.667 0.250
0.667 0.333 0.750
0.000 0.000 0.000
0.000 0.000 0.500
```